Compound: TbDy2Ni2B2P3
Source: OQMD via LeMat-Bulk
Functional: GGA-PBE
Structure: optimized geometry Values from VASP.

Magnetization = 0.00 μB/atom
Total DFT energy (no corrections) = -63.69 eV per formula unit
Symmetry = I4/mmm

Geometry as Quantum ESPRESSO input:
```
&SYSTEM
  ibrav = 0, nat = 10, ntyp = 5
/
ATOMIC_SPECIES
Tb 158.93 Tb.upf
Dy 162.50 Dy.upf
Ni 58.69 Ni.upf
B 10.81 B.upf
P 30.97 P.upf
CELL_PARAMETERS angstrom
-1.970 1.970 10.630
1.970 -1.970 10.630
1.970 1.970 -10.630
ATOMIC_POSITIONS angstrom
Tb 0.000 0.000 0.000
Dy 0.000 0.000 7.710
Dy 0.000 0.000 13.550
Ni 1.970 0.000 5.315
Ni 0.000 1.970 5.315
B 0.000 0.000 4.663
B 0.000 0.000 16.596
P 0.000 0.000 2.728
P 0.000 0.000 10.630
P 0.000 0.000 18.531
```

Compound: DyY2Ni2B2P3
Source: OQMD via LeMat-Bulk
Functional: GGA-PBE
Structure: optimized geometry Values from VASP.

Magnetization = 0.00 μB/atom
Total DFT energy (no corrections) = -67.39 eV per formula unit
Symmetry = I4/mmm

Geometry as Quantum ESPRESSO input:
```
&SYSTEM
  ibrav = 0, nat = 10, ntyp = 5
/
ATOMIC_SPECIES
Dy 162.50 Dy.upf
Y 88.91 Y.upf
Ni 58.69 Ni.upf
B 10.81 B.upf
P 30.97 P.upf
CELL_PARAMETERS angstrom
-1.973 1.973 10.649
1.973 -1.973 10.649
1.973 1.973 -10.649
ATOMIC_POSITIONS angstrom
Dy 0.000 0.000 0.000
Y 0.000 0.000 7.738
Y 0.000 0.000 13.561
Ni 1.973 0.000 5.325
Ni 0.000 1.973 5.325
B 0.000 0.000 4.661
B 0.000 0.000 16.638
P 0.000 0.000 2.730
P 0.000 0.000 10.649
P 0.000 0.000 18.569
```

Compound: DyYNi2B2P2
Source: OQMD via LeMat-Bulk
Functional: GGA-PBE
Structure: optimized geometry Values from VASP.

Magnetization = 0.00 μB/atom
Total DFT energy (no corrections) = -52.37 eV per formula unit
Symmetry = P4mm

Geometry as Quantum ESPRESSO input:
```
&SYSTEM
  ibrav = 0, nat = 8, ntyp = 5
/
ATOMIC_SPECIES
Dy 162.50 Dy.upf
Y 88.91 Y.upf
Ni 58.69 Ni.upf
B 10.81 B.upf
P 30.97 P.upf
CELL_PARAMETERS angstrom
3.892 0.000 0.000
0.000 3.892 0.000
0.000 0.000 7.845
ATOMIC_POSITIONS angstrom
Dy 0.000 0.000 0.000
Y 1.946 1.946 3.217
Ni 0.000 1.946 5.538
Ni 1.946 0.000 5.538
B 0.000 0.000 4.804
B 1.946 1.946 6.274
P 0.000 0.000 2.851
P 1.946 1.946 0.377
```

Compound: PrDyNi8B2
Source: OQMD via LeMat-Bulk
Functional: GGA-PBE
Structure: optimized geometry Values from VASP.

Magnetization = 0.00 μB/atom
Total DFT energy (no corrections) = -72.87 eV per formula unit
Symmetry = P6/mmm
Excess energy over the best structure of this formula in the dataset = 0 meV/atom

Geometry as Quantum ESPRESSO input:
```
&SYSTEM
  ibrav = 0, nat = 12, ntyp = 4
/
ATOMIC_SPECIES
Pr 140.91 Pr.upf
Dy 162.50 Dy.upf
Ni 58.69 Ni.upf
B 10.81 B.upf
CELL_PARAMETERS angstrom
5.031 0.000 0.000
-2.516 4.357 0.000
0.000 0.000 7.004
ATOMIC_POSITIONS angstrom
Pr 0.000 0.000 0.000
Dy 0.000 0.000 3.502
Ni -1.258 2.179 2.072
Ni -1.258 2.179 4.932
Ni 0.000 2.905 0.000
Ni 2.516 0.000 2.072
Ni 2.516 0.000 4.932
Ni 1.258 2.179 2.072
Ni 1.258 2.179 4.932
Ni 2.516 1.452 0.000
B 0.000 2.905 3.502
B 2.516 1.452 3.502
```

Compound: PrDyNi8B2
Source: OQMD via LeMat-Bulk
Functional: GGA-PBE
Structure: optimized geometry Values from VASP.

Magnetization = 0.00 μB/atom
Total DFT energy (no corrections) = -72.39 eV per formula unit
Symmetry = P6/mmm
Excess energy over the best structure of this formula in the dataset = 40 meV/atom

Geometry as Quantum ESPRESSO input:
```
&SYSTEM
  ibrav = 0, nat = 12, ntyp = 4
/
ATOMIC_SPECIES
Pr 140.91 Pr.upf
Dy 162.50 Dy.upf
Ni 58.69 Ni.upf
B 10.81 B.upf
CELL_PARAMETERS angstrom
5.043 0.000 0.000
-2.522 4.367 0.000
0.000 0.000 6.984
ATOMIC_POSITIONS angstrom
Pr 0.000 0.000 0.000
Dy 0.000 0.000 3.492
Ni -1.261 2.184 1.462
Ni -1.261 2.184 5.523
Ni 0.000 2.912 3.492
Ni 2.522 0.000 1.462
Ni 2.522 0.000 5.523
Ni 1.261 2.184 1.462
Ni 1.261 2.184 5.523
Ni 2.522 1.456 3.492
B 0.000 2.912 0.000
B 2.522 1.456 0.000
```

Compound: SmDyNi8B2
Source: OQMD via LeMat-Bulk
Functional: GGA-PBE
Structure: optimized geometry Values from VASP.

Magnetization = 0.00 μB/atom
Total DFT energy (no corrections) = -73.00 eV per formula unit
Symmetry = P6/mmm
Excess energy over the best structure of this formula in the dataset = 0 meV/atom

Geometry as Quantum ESPRESSO input:
```
&SYSTEM
  ibrav = 0, nat = 12, ntyp = 4
/
ATOMIC_SPECIES
Sm 150.36 Sm.upf
Dy 162.50 Dy.upf
Ni 58.69 Ni.upf
B 10.81 B.upf
CELL_PARAMETERS angstrom
5.010 0.000 0.000
-2.505 4.339 0.000
0.000 0.000 6.968
ATOMIC_POSITIONS angstrom
Sm 0.000 0.000 0.000
Dy 0.000 0.000 3.484
Ni -1.253 2.170 2.045
Ni -1.253 2.170 4.923
Ni 0.000 2.893 0.000
Ni 2.505 0.000 2.045
Ni 2.505 0.000 4.923
Ni 1.253 2.170 2.045
Ni 1.253 2.170 4.923
Ni 2.505 1.446 0.000
B 0.000 2.893 3.484
B 2.505 1.446 3.484
```

Compound: SmDyNi8B2
Source: OQMD via LeMat-Bulk
Functional: GGA-PBE
Structure: optimized geometry Values from VASP.

Magnetization = 0.00 μB/atom
Total DFT energy (no corrections) = -72.77 eV per formula unit
Symmetry = P6/mmm
Excess energy over the best structure of this formula in the dataset = 19 meV/atom

Geometry as Quantum ESPRESSO input:
```
&SYSTEM
  ibrav = 0, nat = 12, ntyp = 4
/
ATOMIC_SPECIES
Sm 150.36 Sm.upf
Dy 162.50 Dy.upf
Ni 58.69 Ni.upf
B 10.81 B.upf
CELL_PARAMETERS angstrom
5.018 0.000 0.000
-2.509 4.346 0.000
0.000 0.000 6.982
ATOMIC_POSITIONS angstrom
Sm 0.000 0.000 0.000
Dy 0.000 0.000 3.491
Ni -1.255 2.173 1.458
Ni -1.255 2.173 5.524
Ni 0.000 2.897 3.491
Ni 2.509 0.000 1.458
Ni 2.509 0.000 5.524
Ni 1.255 2.173 1.458
Ni 1.255 2.173 5.524
Ni 2.509 1.449 3.491
B 0.000 2.897 0.000
B 2.509 1.449 0.000
```

Compound: DyNpB
Source: OQMD via LeMat-Bulk
Functional: GGA-PBE
Structure: optimized geometry Values from VASP.

Magnetization = 1.46 μB/atom
Total DFT energy (no corrections) = -22.76 eV per formula unit
Symmetry = F-43m
Excess energy over the best structure of this formula in the dataset = 0 meV/atom

Geometry as Quantum ESPRESSO input:
```
&SYSTEM
  ibrav = 0, nat = 3, ntyp = 3
/
ATOMIC_SPECIES
Dy 162.50 Dy.upf
Np 237.00 Np.upf
B 10.81 B.upf
CELL_PARAMETERS angstrom
0.000 3.130 3.130
3.130 0.000 3.130
3.130 3.130 0.000
ATOMIC_POSITIONS angstrom
Dy 0.000 0.000 0.000
Np 3.130 3.130 3.130
B 1.565 1.565 1.565
```

Number 1: calculated volume 165.07 Å³/cell. Number 2: calculated volume 165.89 Å³/cell. Number 3: calculated volume 118.84 Å³/cell. Number 4: calculated volume 153.53 Å³/cell. Number 5: calculated volume 153.83 Å³/cell. Number 6: calculated volume 151.49 Å³/cell. Number 7: calculated volume 152.26 Å³/cell. Number 8: calculated volume 61.35 Å³/cell.